Below is a geometry-optimized BeSbOs2 structure, with properties calculated at the GGA-PBE level.

Geometry as CIF:
```
data_BeSbOs2
_chemical_formula_sum 'Be1 Sb1 Os2'
_space_group_name_H-M_alt 'P 1'
_space_group_IT_number 1
_cell_length_a 4.413
_cell_length_b 4.413
_cell_length_c 4.413
_cell_angle_alpha 60.00
_cell_angle_beta 60.00
_cell_angle_gamma 60.00
loop_
_space_group_symop_operation_xyz
'x,y,z'
loop_
_atom_site_label
_atom_site_fract_x
_atom_site_fract_y
_atom_site_fract_z
Os1 0.750 0.750 0.750
Os2 0.000 0.000 0.000
Be1 0.250 0.250 0.250
Sb1 0.500 0.500 0.500
```

Calculated values
- Calculated total energy: -27.4 eV per cell
- SG: No. 216


Below is a geometry-optimized LuNb2Tc structure, with properties calculated at the GGA-PBE level.

Geometry as CIF:
```
data_LuNb2Tc
_chemical_formula_sum 'Lu1 Nb2 Tc1'
_space_group_name_H-M_alt 'P 1'
_space_group_IT_number 1
_cell_length_a 4.709
_cell_length_b 4.709
_cell_length_c 4.709
_cell_angle_alpha 60.00
_cell_angle_beta 60.00
_cell_angle_gamma 60.00
loop_
_space_group_symop_operation_xyz
'x,y,z'
loop_
_atom_site_label
_atom_site_fract_x
_atom_site_fract_y
_atom_site_fract_z
Tc1 0.250 0.250 0.250
Nb1 0.750 0.750 0.750
Nb2 0.500 0.500 0.500
Lu1 0.000 0.000 0.000
```

Calculated values
- Calculated total energy: -34.6 eV per cell
- SG: No. 216


Below is a geometry-optimized FeCuBW structure, with properties calculated at the GGA-PBE level.

Geometry as CIF:
```
data_FeCuBW
_chemical_formula_sum 'Fe1 Cu1 B1 W1'
_space_group_name_H-M_alt 'P 1'
_space_group_IT_number 1
_cell_length_a 3.999
_cell_length_b 3.999
_cell_length_c 3.999
_cell_angle_alpha 60.00
_cell_angle_beta 60.00
_cell_angle_gamma 60.00
loop_
_space_group_symop_operation_xyz
'x,y,z'
loop_
_atom_site_label
_atom_site_fract_x
_atom_site_fract_y
_atom_site_fract_z
B1 0.500 0.500 0.500
Cu1 0.750 0.750 0.750
W1 0.000 0.000 0.000
Fe1 0.250 0.250 0.250
```

Calculated values
- Excess energy over the best structure of this formula in the dataset: 140 meV per atom
- SG: No. 216


Below is a geometry-optimized Tb2YIn3Pt2Au structure, with properties calculated at the GGA-PBE level.

Geometry as CIF:
```
data_Tb2YIn3Pt2Au
_chemical_formula_sum 'Tb2 Y1 In3 Pt2 Au1'
_space_group_name_H-M_alt 'P 1'
_space_group_IT_number 1
_cell_length_a 3.819
_cell_length_b 7.801
_cell_length_c 7.801
_cell_angle_alpha 120.02
_cell_angle_beta 90.00
_cell_angle_gamma 90.00
loop_
_space_group_symop_operation_xyz
'x,y,z'
loop_
_atom_site_label
_atom_site_fract_x
_atom_site_fract_y
_atom_site_fract_z
Tb1 0.000 0.000 0.592
Tb2 0.000 0.592 0.000
In1 0.500 0.269 0.000
In2 0.500 0.731 0.731
In3 0.500 0.000 0.269
Pt1 0.500 0.333 0.667
Pt2 0.500 0.667 0.333
Au1 0.000 0.000 0.000
Y1 0.000 0.407 0.407
```

Calculated values
- Calculated total energy: -47.6 eV per cell
- SG: No. 38


Below is a geometry-optimized FeB3 structure, with properties calculated at the GGA-PBE level.

Geometry as CIF:
```
data_FeB3
_chemical_formula_sum 'Fe1 B3'
_space_group_name_H-M_alt 'P 1'
_space_group_IT_number 1
_cell_length_a 2.999
_cell_length_b 2.999
_cell_length_c 2.999
_cell_angle_alpha 90.00
_cell_angle_beta 90.00
_cell_angle_gamma 90.00
loop_
_space_group_symop_operation_xyz
'x,y,z'
loop_
_atom_site_label
_atom_site_fract_x
_atom_site_fract_y
_atom_site_fract_z
B1 0.000 0.500 0.500
B2 0.500 0.500 0.000
B3 0.500 0.000 0.500
Fe1 0.000 0.000 0.000
```

Calculated values
- Excess energy over the best structure of this formula in the dataset: 130 meV per atom
- SG: No. 221


Below is a geometry-optimized Ta2AlGaPt2 structure, with properties calculated at the GGA-PBE level.

Geometry as CIF:
```
data_Ta2AlGaPt2
_chemical_formula_sum 'Ta8 Al4 Ga4 Pt8'
_space_group_name_H-M_alt 'P 1'
_space_group_IT_number 1
_cell_length_a 10.496
_cell_length_b 4.283
_cell_length_c 10.497
_cell_angle_alpha 90.00
_cell_angle_beta 109.45
_cell_angle_gamma 90.00
loop_
_space_group_symop_operation_xyz
'x,y,z'
loop_
_atom_site_label
_atom_site_fract_x
_atom_site_fract_y
_atom_site_fract_z
Pt1 0.000 0.000 0.003
Pt2 0.250 0.000 0.747
Pt3 0.875 0.500 0.624
Pt4 0.747 0.000 0.248
Pt5 0.499 0.000 0.499
Pt6 0.127 0.500 0.375
Pt7 0.374 0.500 0.126
Pt8 0.628 0.500 0.877
Ta1 0.875 0.500 0.874
Ta2 0.124 0.500 0.625
Ta3 0.376 0.500 0.376
Ta4 0.750 0.000 0.500
Ta5 0.624 0.500 0.125
Ta6 0.500 0.000 0.750
Ta7 0.999 0.000 0.251
Ta8 0.250 0.000 0.999
Al1 0.499 0.000 0.250
Al2 0.750 0.000 0.000
Al3 0.125 0.500 0.125
Al4 0.250 0.000 0.500
Ga1 0.625 0.500 0.625
Ga2 0.375 0.500 0.875
Ga3 0.875 0.500 0.375
Ga4 0.000 0.000 0.751
```

Calculated values
- Calculated total energy: -185.7 eV per cell
- SG: No. 6


Below is a geometry-optimized Dy2MgSnPt4 structure, with properties calculated at the GGA-PBE level.

Geometry as CIF:
```
data_Dy2MgSnPt4
_chemical_formula_sum 'Dy2 Mg1 Sn1 Pt4'
_space_group_name_H-M_alt 'P 1'
_space_group_IT_number 1
_cell_length_a 4.788
_cell_length_b 4.788
_cell_length_c 6.767
_cell_angle_alpha 90.00
_cell_angle_beta 90.00
_cell_angle_gamma 90.00
loop_
_space_group_symop_operation_xyz
'x,y,z'
loop_
_atom_site_label
_atom_site_fract_x
_atom_site_fract_y
_atom_site_fract_z
Pt1 0.000 0.500 0.756
Pt2 0.500 0.000 0.756
Pt3 0.000 0.500 0.244
Pt4 0.500 0.000 0.244
Dy1 0.500 0.500 0.000
Dy2 0.000 0.000 0.500
Sn1 0.500 0.500 0.500
Mg1 0.000 0.000 0.000
```

Calculated values
- Calculated total energy: -46.7 eV per cell
- SG: No. 123


Below is a geometry-optimized BaLaIn2Pd4 structure, with properties calculated at the GGA-PBE level.

Geometry as CIF:
```
data_BaLaIn2Pd4
_chemical_formula_sum 'Ba1 La1 In2 Pd4'
_space_group_name_H-M_alt 'P 1'
_space_group_IT_number 1
_cell_length_a 4.697
_cell_length_b 4.697
_cell_length_c 9.951
_cell_angle_alpha 90.00
_cell_angle_beta 90.00
_cell_angle_gamma 120.00
loop_
_space_group_symop_operation_xyz
'x,y,z'
loop_
_atom_site_label
_atom_site_fract_x
_atom_site_fract_y
_atom_site_fract_z
La1 0.667 0.333 0.500
Ba1 0.000 0.000 0.000
In1 0.333 0.667 0.265
In2 0.333 0.667 0.735
Pd1 0.667 0.333 0.207
Pd2 0.000 0.000 0.660
Pd3 0.000 0.000 0.340
Pd4 0.667 0.333 0.793
```

Calculated values
- Calculated total energy: -38.7 eV per cell
- SG: No. 187


Below is a geometry-optimized BaErCu structure, with properties calculated at the GGA-PBE level.

Geometry as CIF:
```
data_BaErCu
_chemical_formula_sum 'Ba1 Er1 Cu1'
_space_group_name_H-M_alt 'P 1'
_space_group_IT_number 1
_cell_length_a 5.139
_cell_length_b 5.139
_cell_length_c 5.139
_cell_angle_alpha 60.00
_cell_angle_beta 60.00
_cell_angle_gamma 60.00
loop_
_space_group_symop_operation_xyz
'x,y,z'
loop_
_atom_site_label
_atom_site_fract_x
_atom_site_fract_y
_atom_site_fract_z
Cu1 0.250 0.250 0.250
Ba1 0.000 0.000 0.000
Er1 0.750 0.750 0.750
```

Calculated values
- Excess energy over the best structure of this formula in the dataset: 635 meV per atom
- SG: No. 216


Below is a geometry-optimized Mg3HgN structure, with properties calculated at the GGA-PBE level.

Geometry as CIF:
```
data_Mg3HgN
_chemical_formula_sum 'Mg3 Hg1 N1'
_space_group_name_H-M_alt 'P 1'
_space_group_IT_number 1
_cell_length_a 4.320
_cell_length_b 4.320
_cell_length_c 4.320
_cell_angle_alpha 90.00
_cell_angle_beta 90.00
_cell_angle_gamma 90.00
loop_
_space_group_symop_operation_xyz
'x,y,z'
loop_
_atom_site_label
_atom_site_fract_x
_atom_site_fract_y
_atom_site_fract_z
Mg1 0.500 0.500 0.000
Mg2 0.000 0.500 0.500
Mg3 0.500 0.000 0.500
Hg1 0.000 0.000 0.000
N1 0.500 0.500 0.500
```

Calculated values
- Calculated total energy: -15.5 eV per cell
- SG: No. 221


Below is a geometry-optimized Ba2InOsS6 structure, with properties calculated at the GGA-PBE level.

Geometry as CIF:
```
data_Ba2InOsS6
_chemical_formula_sum 'Ba2 In1 Os1 S6'
_space_group_name_H-M_alt 'P 1'
_space_group_IT_number 1
_cell_length_a 6.778
_cell_length_b 6.781
_cell_length_c 6.943
_cell_angle_alpha 64.49
_cell_angle_beta 62.67
_cell_angle_gamma 61.45
loop_
_space_group_symop_operation_xyz
'x,y,z'
loop_
_atom_site_label
_atom_site_fract_x
_atom_site_fract_y
_atom_site_fract_z
S1 0.271 0.158 0.320
S2 0.729 0.842 0.680
S3 0.690 0.282 0.805
S4 0.799 0.738 0.174
S5 0.201 0.262 0.826
S6 0.310 0.718 0.195
Ba1 0.250 0.749 0.752
Ba2 0.750 0.251 0.248
In1 0.000 0.500 0.500
Os1 0.500 0.000 0.000
```

Calculated values
- Excess energy over the best structure of this formula in the dataset: 10 meV per atom
- SG: No. 2


Below is a geometry-optimized GaPOsO structure, with properties calculated at the GGA-PBE level.

Geometry as CIF:
```
data_GaPOsO
_chemical_formula_sum 'Ga2 P2 Os2 O2'
_space_group_name_H-M_alt 'P 1'
_space_group_IT_number 1
_cell_length_a 2.849
_cell_length_b 6.821
_cell_length_c 5.822
_cell_angle_alpha 90.00
_cell_angle_beta 90.00
_cell_angle_gamma 90.00
loop_
_space_group_symop_operation_xyz
'x,y,z'
loop_
_atom_site_label
_atom_site_fract_x
_atom_site_fract_y
_atom_site_fract_z
Ga1 0.000 0.795 0.043
Ga2 0.000 0.205 0.543
O1 0.000 0.924 0.517
O2 0.000 0.076 0.017
P1 0.500 0.405 0.278
P2 0.500 0.595 0.778
Os1 0.500 0.276 0.916
Os2 0.500 0.724 0.416
```

Calculated values
- Excess energy over the best structure of this formula in the dataset: 158 meV per atom
- SG: No. 26